## AlCr2Mo (PBE-GGA)

Data for a geometry-optimized AlCr2Mo structure.

The value obtained for the spin magnetization is 0.002 μB/atom. As for the energy relative to the elements: 0.056 eV per atom. The calculation puts the total energy at -8.399 eV/atom.

It has space group C2/m (No. 12), with a = 5.2384 Å, b = 8.4384 Å, c = 2.6070 Å, α = 90.00°, β = 110.76° and γ = 90.00°. The distinct sites, in fractional coordinates, are Al at (0.0000, 0.0000, 0.0000), Cr at (0.2500, 0.2500, 0.5000) and Mo at (0.0000, 0.5000, 0.0000).



## Mg2TlAg (PBE-GGA)

Data for a geometry-optimized Mg2TlAg structure.

The value obtained for the spin magnetization is 0.000 μB/atom. As for the energy relative to the elements: 0.096 eV per atom. The calculation puts the total energy at -2.005 eV/atom.

It has space group I-42d (No. 122), with a = 7.9209 Å, b = 7.9209 Å, c = 6.1638 Å, α = 90.00°, β = 90.00° and γ = 90.00°. The distinct sites, in fractional coordinates, are Mg at (0.2205, 0.2500, 0.1250), Tl at (0.0000, 0.0000, 0.5000) and Ag at (0.0000, 0.0000, 0.0000).



## BaTcHg2 (PBE-GGA)

Data for a geometry-optimized BaTcHg2 structure.

The calculation puts the energy above the most stable polymorph in this dataset at 9.17 kcal/mol of atoms. The value obtained for the spin magnetization is 0.217 μB/atom. As for the energy relative to the elements: 0.377 eV per atom. The calculation puts the total energy at -2.846 eV/atom.

It has space group Amm2 (No. 38), with a = 3.7719 Å, b = 4.0235 Å, c = 14.5545 Å, α = 90.00°, β = 90.00° and γ = 90.00°. The distinct sites, in fractional coordinates, are Ba at (0.0000, 0.0000, 0.0000), Tc at (0.0000, 0.0000, 0.2068), Hg at (0.5000, 0.0000, 0.3521) and Hg at (0.5000, 0.0000, 0.6703).



## CuTc2Ni (PBE-GGA)

Data for a geometry-optimized CuTc2Ni structure.

The calculation puts the energy above the most stable polymorph in this dataset at 0.71 kcal/mol of atoms. The value obtained for the spin magnetization is 0.000 μB/atom. As for the energy relative to the elements: 0.131 eV per atom. The calculation puts the total energy at -7.521 eV/atom.

It has space group I4/mmm (No. 139), with a = 3.6204 Å, b = 3.6204 Å, c = 7.9325 Å, α = 90.00°, β = 90.00° and γ = 90.00°. The distinct sites, in fractional coordinates, are Cu at (0.0000, 0.0000, 0.0000), Tc at (0.0000, 0.5000, 0.2500) and Ni at (0.0000, 0.0000, 0.5000).



Q: The lowest energy relative to the elements belongs to which entry?
A: AlCr2Mo